Below is AcH2F7 after structural relaxation, with properties calculated at the GGA-PBE level.

Lattice parameters (Å, degrees): 4.054 5.489 6.436 76.93 83.54 89.02
Space group P-1 (No. 2)
Asymmetric unit:
Ac1 0.000 0.000 0.000 x1
H1 0.258 0.476 0.646 x2
F1 0.058 0.442 0.768 x2
F2 0.445 0.921 0.289 x2
F3 0.482 0.251 0.081 x2
F4 0.500 0.500 0.500 x1

Computed properties:
**Mass density**: 4.3 Mg/m³
**Crystal system**: triclinic
**Final energy**: -45.7 eV/f.u.

***

Below is AcHF after structural relaxation, with properties calculated at the GGA-PBE level.

Lattice parameters (Å, degrees): 8.524 8.581 11.734 90.00 90.00 90.00
Space group Fddd (No. 70, origin choice 2)
Asymmetric unit:
Ac1 0.125 0.364 0.125 x16
H1 0.125 0.125 0.252 x16
F1 0.125 0.125 0.504 x16

Computed properties:
**Mass density**: 7.6 Mg/m³
**Crystal system**: orthorhombic
**Energy above the lowest structure with this stoichiometry**: 22 meV/atom

***

Below is AcH2F6 after structural relaxation, with properties calculated at the GGA-PBE level.

Lattice parameters (Å, degrees): 9.428 9.015 5.847 90.00 113.55 90.00
Space group C2/c (No. 15)
Asymmetric unit:
Ac1 0.000 0.201 0.250 x4
H1 0.159 0.484 0.613 x8
F1 0.089 0.079 0.913 x8
F2 0.121 0.403 0.104 x8
F3 0.203 0.354 0.614 x8

Computed properties:
**Mass density**: 5.0 Mg/m³
**Crystal system**: monoclinic
**Energy above the lowest structure with this stoichiometry**: 22 meV/atom

***

Below is AcH3F6 after structural relaxation, with properties calculated at the GGA-PBE level.

Lattice parameters (Å, degrees): 10.9143 10.9143 4.1076 90.00 90.00 120.00
Space group R3m (No. 160, hexagonal axes)
Asymmetric unit:
Ac1 0.0000 0.0000 0.0000 x3
H1 0.1845 0.3690 0.0949 x9
F1 0.0697 0.5349 0.6725 x9
F2 0.1691 0.0846 0.5025 x9

Computed properties:
**Mass density**: 4.0 Mg/m³
**Crystal system**: trigonal
**Final energy**: -51.9 eV/f.u.

***

Below is AcHF after structural relaxation, with properties calculated at the GGA-PBE level.

Lattice parameters (Å, degrees): 6.007 6.007 6.007 90.00 90.00 90.00
Space group F-43m (No. 216)
Asymmetric unit:
Ac1 0.000 0.000 0.000 x4
H1 0.250 0.250 0.750 x4
F1 0.250 0.250 0.250 x4

Computed properties:
**Mass density**: 7.6 Mg/m³
**Crystal system**: cubic
**Energy above the lowest structure with this stoichiometry**: 74 meV/atom

***

Below is Ac2HF5 after structural relaxation, with properties calculated at the GGA-PBE level.

Lattice parameters (Å, degrees): 4.3475 4.3475 15.8827 90.00 90.00 120.00
Space group P6_3/mmc (No. 194)
Asymmetric unit:
Ac1 0.3333 0.6667 0.1184 x4
H1 0.3333 0.6667 0.2500 x2
F1 0.0000 0.0000 0.1192 x4
F2 0.3333 0.6667 0.5518 x4
F3 0.3333 0.6667 0.7500 x2

Computed properties:
**Mass density**: 7.0 Mg/m³
**Crystal system**: hexagonal
**Final energy**: -48.1 eV/f.u.